# 1
La12Si3H5 GGA-PBE relaxed; total energy = -4.966 eV per atom; Fermi-level density of states = 22.51 states/eV/f.u.; SG = Ia-3d, No. 230; spin magnetization = 0.0 μB per formula unit
1.0
-8.799 7.848 -7.363
-3.860 -13.327 -0.844
-0.197 4.048 13.296
La H Si
48 20 12
direct
0.381 0.410 0.099
0.401 0.119 0.590
0.910 0.811 0.529
0.410 0.381 0.599
0.590 0.971 0.689
0.119 0.718 0.529
0.029 0.619 0.718
0.311 0.782 0.401
0.099 0.189 0.218
0.282 0.401 0.811
0.410 0.029 0.311
0.971 0.381 0.282
0.119 0.401 0.090
0.099 0.910 0.381
0.529 0.311 0.910
0.090 0.189 0.471
0.782 0.471 0.381
0.971 0.590 0.189
0.901 0.090 0.619
0.590 0.619 0.401
0.599 0.718 0.689
0.218 0.689 0.099
0.189 0.099 0.718
0.811 0.910 0.029
0.029 0.410 0.811
0.910 0.099 0.881
0.529 0.218 0.119
0.881 0.282 0.471
0.689 0.218 0.599
0.090 0.901 0.119
0.189 0.090 0.971
0.311 0.529 0.410
0.471 0.689 0.090
0.401 0.282 0.311
0.718 0.119 0.029
0.619 0.029 0.218
0.782 0.311 0.901
0.599 0.881 0.410
0.218 0.529 0.619
0.689 0.471 0.590
0.282 0.881 0.971
0.471 0.782 0.881
0.901 0.811 0.782
0.619 0.590 0.901
0.811 0.901 0.282
0.718 0.599 0.189
0.381 0.971 0.782
0.881 0.599 0.910
0.000 0.500 0.500
0.750 0.625 0.375
0.250 0.375 0.625
0.000 0.000 0.000
0.375 0.250 0.125
0.000 0.500 0.000
0.500 0.500 0.500
0.750 0.125 0.875
0.500 0.500 0.000
0.875 0.250 0.625
0.375 0.125 0.750
0.250 0.875 0.125
0.125 0.750 0.375
0.875 0.625 0.750
0.125 0.375 0.250
0.625 0.875 0.250
0.500 0.000 0.000
0.500 0.000 0.500
0.000 0.000 0.500
0.625 0.750 0.875
0.625 0.375 0.750
0.625 0.250 0.375
0.750 0.375 0.125
0.750 0.875 0.625
0.375 0.625 0.250
0.125 0.875 0.750
0.875 0.750 0.125
0.250 0.125 0.375
0.375 0.750 0.625
0.875 0.125 0.250
0.250 0.625 0.875
0.125 0.250 0.875

# 2
Mn2Fe5Pd12 GGA-PBE relaxed; Fermi-level density of states = 14.43 states/eV/f.u.; SG = C2/m, No. 12; energy of formation = 0.03 eV/atom; spin magnetization = 27.4 μB per formula unit
1.0
-5.307 0.101 5.312
0.276 -5.093 -4.935
3.752 -3.468 3.814
Pd Mn Fe
12 2 5
direct
0.025 0.690 0.754
0.335 0.310 0.246
0.571 0.749 0.341
0.564 0.128 0.312
0.093 0.187 0.882
0.665 0.690 0.754
0.975 0.310 0.246
0.429 0.251 0.659
0.179 0.749 0.341
0.821 0.251 0.659
0.907 0.813 0.118
0.436 0.872 0.688
0.306 0.000 0.000
0.694 0.000 0.000
0.297 0.593 0.009
0.231 0.462 0.572
0.769 0.538 0.428
0.703 0.407 0.991
0.000 0.000 0.500

# 3
Ac3GaRu2 GGA-PBE relaxed; Fermi-level density of states = 3.76 states/eV/f.u.; SG = C2/m, No. 12; energy of formation = -0.18 eV/atom; spin magnetization = 0.0 μB per formula unit
1.0
4.411 0.000 0.000
2.205 7.850 0.690
2.205 2.500 10.765
Ac Ru Ga
6 4 2
direct
0.648 0.705 0.999
0.048 0.171 0.734
0.788 0.812 0.611
0.212 0.188 0.389
0.952 0.829 0.266
0.352 0.295 0.001
0.848 0.481 0.822
0.592 0.270 0.546
0.152 0.519 0.178
0.408 0.730 0.454
0.412 0.492 0.683
0.588 0.508 0.317